w) Here is Li2TiFeO4 at its PBEsol-relaxed geometry from the Alexandria database. Energies are from SCAN.

Summary:
- DOS(E_F): 3.43 states/eV/cell
- M_tot: 7.926 μB/cell

The structure in POSCAR format:
```
Li2TiFeO4
1.0
4.0011 0.0000 0.0000
0.0000 4.0011 0.0000
0.0000 0.0000 8.4831
Li Ti Fe O
4 2 2 8
Direct
0.0000 0.0000 0.0000
0.0000 0.5000 0.2500
0.5000 0.0000 0.7500
0.5000 0.5000 0.5000
0.0000 0.0000 0.5000
0.5000 0.5000 0.0000
0.0000 0.5000 0.7500
0.5000 0.0000 0.2500
0.0000 0.0000 0.2622
0.0000 0.0000 0.7378
0.0000 0.5000 0.0040
0.0000 0.5000 0.4960
0.5000 0.0000 0.5040
0.5000 0.0000 0.9960
0.5000 0.5000 0.2378
0.5000 0.5000 0.7622
```

=====

x) Here is Li2TiFeO4 at its PBEsol-relaxed geometry from the Alexandria database. Energies are from SCAN.

Summary:
- DOS(E_F): 1.45 states/eV/cell
- M_tot: 0.193 μB/cell

The structure in POSCAR format:
```
Li2TiFeO4
1.0
5.7760 0.0000 0.0000
0.0000 5.8095 0.0000
0.0000 0.0000 7.9234
Li Ti Fe O
8 4 4 16
Direct
0.0000 0.0000 0.0000
0.0000 0.5000 0.0000
0.2462 0.2500 0.2565
0.2538 0.7500 0.7565
0.5000 0.0000 0.5000
0.5000 0.5000 0.5000
0.7462 0.2500 0.2435
0.7538 0.7500 0.7435
0.2186 0.7500 0.2624
0.2814 0.2500 0.7624
0.7186 0.7500 0.2376
0.7814 0.2500 0.7376
0.0000 0.0000 0.5000
0.0000 0.5000 0.5000
0.5000 0.0000 0.0000
0.5000 0.5000 0.0000
0.0154 0.0129 0.7495
0.0154 0.4871 0.7495
0.2307 0.7500 0.5070
0.2319 0.2500 0.5096
0.2681 0.7500 0.0096
0.2693 0.2500 0.0070
0.4846 0.5129 0.2495
0.4846 0.9871 0.2495
0.5154 0.0129 0.7505
0.5154 0.4871 0.7505
0.7307 0.7500 0.9930
0.7319 0.2500 0.9904
0.7681 0.7500 0.4904
0.7693 0.2500 0.4930
0.9846 0.5129 0.2505
0.9846 0.9871 0.2505
```

=====

Energies relative to the minimum, meV per atom: w) 0; x) 17